Entry 1:
LiPr2Ni4As3: relaxed, GGA-PBE.

Summary:
For the energy of formation, the calculation gives -74.1 kJ/mol of atoms. The space-group type is P-4m2 (115). The density of states at the Fermi level comes out at 5.55 states/eV per cell.

abc: 4.1434 4.1434 9.6469
angles: 90.00 90.00 90.00
Last column: nearest neighbours and their distance in Å.
Sites, in units of the cell vectors:
Li  0.0000  0.0000  0.0000  4 Ni 2.39
Pr  0.0000  0.5000  0.7443  6 As 3.12-3.22, 8 Ni 3.14-3.20, 2 Li 3.22
Pr  0.5000  0.0000  0.2557  6 As 3.12-3.22, 8 Ni 3.14-3.20, 2 Li 3.22
Ni  0.0000  0.0000  0.5000  4 As 2.43
Ni  0.0000  0.5000  0.1225  3 As 2.36-2.39, 2 Li 2.39
Ni  0.5000  0.0000  0.8775  3 As 2.36-2.39, 2 Li 2.39
Ni  0.5000  0.5000  0.5000  4 As 2.43
As  0.0000  0.5000  0.3674  5 Ni 2.36-2.43
As  0.5000  0.0000  0.6326  5 Ni 2.36-2.43
As  0.5000  0.5000  0.0000  4 Ni 2.39

---

Entry 2:
CsBaNF2: relaxed, GGA-PBE.

Summary:
The offset from the most stable computed form is 636 meV per atom. As for the uncorrected formation energy: -1.03 eV/atom. The space-group type is P4/mmm (123). The density of states at the Fermi level comes out at 2.41 states/eV per cell.

abc: 5.1464 5.1464 4.5548
angles: 90.00 90.00 90.00
Last column: nearest neighbours and their distance in Å.
Sites, in units of the cell vectors:
Cs  0.0000  0.0000  0.0000  2 N 2.28
Ba  0.5000  0.5000  0.5000  8 F 3.44, 4 N 3.64
N  0.0000  0.0000  0.5000  2 Cs 2.28
F  0.0000  0.5000  0.0000  2 Cs 2.57
F  0.5000  0.0000  0.0000  2 Cs 2.57

---

Entry 3:
CsNaTlIn: relaxed, GGA-PBE.

Summary:
For the energy of formation, the calculation gives -8.3 kJ/mol of atoms. The offset from the most stable computed form is 0 meV per atom. The space-group type is Cm (8). The density of states at the Fermi level comes out at 1.55 states/eV per cell.

abc: 5.2547 5.2547 7.8557
angles: 109.62 109.62 59.78
Last column: nearest neighbours and their distance in Å.
Sites, in units of the cell vectors:
Cs  0.0000  0.0000  0.0000  3 In 4.12, 4 Na 4.16-4.33, 4 Tl 4.23-4.28
Na  0.1917  0.1917  0.5749  3 Tl 3.24-3.25, 3 In 3.32-3.34
Tl  0.8054  0.8054  0.4156  3 In 3.03-3.05, 3 Na 3.24-3.25
In  0.4617  0.4617  0.3849  3 Tl 3.03-3.05, 3 Na 3.32-3.34

---

Entry 4:
Tb2YEr5: relaxed, GGA-PBE.

Summary:
For the energy of formation, the calculation gives 1.9 kJ/mol of atoms. The offset from the most stable computed form is 0 meV per atom. The space-group type is Pbam (55). The density of states at the Fermi level comes out at 19.17 states/eV per cell.

abc: 7.0573 14.1138 4.9831
angles: 90.00 90.00 90.00
Last column: nearest neighbours and their distance in Å.
Sites, in units of the cell vectors:
Tb  0.2495  0.1255  0.0000  10 Er 3.51-3.54, 2 Y 3.53
Tb  0.2505  0.6255  0.0000  10 Er 3.51-3.54, 2 Y 3.53
Tb  0.7495  0.3745  0.0000  10 Er 3.51-3.54, 2 Y 3.53
Tb  0.7505  0.8745  0.0000  10 Er 3.51-3.54, 2 Y 3.53
Y  0.0000  0.5000  0.5000  8 Er 3.53-3.54, 4 Tb 3.53
Y  0.5000  0.0000  0.5000  8 Er 3.53-3.54, 4 Tb 3.53
Er  0.0000  0.0000  0.5000  6 Er 3.52-3.53, 4 Tb 3.53, 2 Y 3.53
Er  0.0003  0.2492  0.5000  4 Tb 3.51-3.53, 7 Er 3.52-3.53, 1 Y 3.54
Er  0.9997  0.7508  0.5000  4 Tb 3.51-3.53, 7 Er 3.52-3.53, 1 Y 3.54
Er  0.2491  0.8745  0.0000  4 Tb 3.51-3.54, 6 Er 3.52-3.53, 2 Y 3.53
Er  0.2509  0.3745  0.0000  4 Tb 3.51-3.54, 6 Er 3.52-3.53, 2 Y 3.53
Er  0.5003  0.2508  0.5000  4 Tb 3.51-3.53, 7 Er 3.52-3.53, 1 Y 3.54
Er  0.5000  0.5000  0.5000  6 Er 3.52-3.53, 4 Tb 3.53, 2 Y 3.53
Er  0.4997  0.7492  0.5000  4 Tb 3.51-3.53, 7 Er 3.52-3.53, 1 Y 3.54
Er  0.7491  0.6255  0.0000  4 Tb 3.51-3.54, 6 Er 3.52-3.53, 2 Y 3.53
Er  0.7509  0.1255  0.0000  4 Tb 3.51-3.54, 6 Er 3.52-3.53, 2 Y 3.53